Material: Zr2ZnW
Method: DFT, meta-GGA SCAN
State: PBEsol geometry

```
Zr2ZnW
1.0
2.8006 0.0000 0.0000
0.0000 2.8006 0.0000
0.0000 0.0000 9.1072
Zr Zn W
2 1 1
direct
0.0000 0.0000 0.2422
0.0000 0.0000 0.7578
0.5000 0.5000 0.0000
0.5000 0.5000 0.5000
```

Calculated values
energy of formation from the pure elements	0.08	eV/atom
raw total energy	-36.07	eV per atom
V	71.4	Å³ per cell
space group	P4/mmm (123)